1.
Entry from Alexandria via LeMat-Bulk: a relaxed Pr2Sm9Ho crystal (GGA-PBE).

## Properties
magnetization = 0.0000 μB per atom
ΔE_f = 0.0548 eV per atom
space-group type = P6/mmm
energy = -4.663 eV per atom

The structure in extended XYZ format:
```
12
Lattice="3.542 0.000 0.000 0.000 11.486 0.000 0.000 -5.743 9.947" Properties=species:S:1:pos:R:3 pbc="T T T"
Ho 0.000 0.000 0.000
Sm 1.771 5.743 6.536
Sm 1.771 2.789 8.241
Sm 1.771 -2.789 8.241
Sm 1.771 2.954 1.706
Sm 0.000 5.743 0.000
Sm 1.771 0.000 3.411
Sm 0.000 2.871 4.974
Sm 0.000 -2.871 4.974
Sm 1.771 8.532 1.706
Pr 0.000 0.000 6.631
Pr 0.000 5.743 3.316
```

=====

2.
Entry from Alexandria via LeMat-Bulk: a relaxed La2Tb5Ho crystal (GGA-PBE).

## Properties
magnetization = 0.0000 μB per atom
ΔE_f = 0.0274 eV per atom
space-group type = Pbam
energy = -4.671 eV per atom

The structure in extended XYZ format:
```
16
Lattice="5.102 0.000 0.000 0.000 7.207 0.000 0.000 0.000 14.415" Properties=species:S:1:pos:R:3 pbc="T T T"
La 2.551 1.797 9.007
La 2.551 1.807 1.800
La 2.551 5.411 5.408
La 2.551 5.400 12.615
Tb 0.000 3.596 10.814
Tb 0.000 0.000 0.000
Tb 0.000 7.200 10.808
Tb 0.000 0.008 3.607
Tb 2.551 1.794 12.613
Tb 2.551 5.398 9.009
Tb 2.551 1.809 5.406
Tb 0.000 3.604 7.207
Tb 2.551 5.413 1.802
Tb 0.000 3.612 3.600
Ho 0.000 3.604 0.000
Ho 0.000 0.000 7.207
```

=====

3.
Entry from Alexandria via LeMat-Bulk: a relaxed TlPb crystal (GGA-PBE).

## Properties
magnetization = 0.0000 μB per atom
ΔE_f = -0.0053 eV per atom
space-group type = I4_1/amd
energy = -3.043 eV per atom

The structure in extended XYZ format:
```
4
Lattice="-0.156 0.926 5.926 -5.801 0.484 1.452 2.820 -4.267 -3.137" Properties=species:S:1:pos:R:3 pbc="T T T"
Pb 0.000 0.000 0.000
Pb -2.980 -1.539 1.003
Tl -0.157 -1.318 3.239
Tl -2.979 0.705 3.689
```

=====

4.
Entry from Alexandria via LeMat-Bulk: a relaxed MnAlVCu crystal (GGA-PBE).

## Properties
magnetization = 0.0091 μB per atom
ΔE_f = -0.1077 eV per atom
space-group type = F-43m
energy = -6.639 eV per atom

The structure in extended XYZ format:
```
4
Lattice="4.153 0.000 0.000 2.076 3.596 0.000 2.076 1.199 3.391" Properties=species:S:1:pos:R:3 pbc="T T T"
Cu 2.076 1.199 0.848
Mn 6.229 3.596 2.543
Al 0.000 0.000 0.000
V 4.153 2.398 1.695
```

=====

Q: What is the magnetization in the first record?
A: 0.0000 μB per atom

=====

Q: Which of these has the highest energy?
A: TlPb

=====

Q: Among the records above, which one has the lowest energy?
A: MnAlVCu